Density functional theory data (PBE) for CuSiGe after structural relaxation.

Values from the calculation:
The value obtained for the excess energy over the best structure of this formula in the dataset is 0.0 meV per atom.

The structure in CIF format:
```
data_CuSiGe
_chemical_formula_sum 'Cu4 Si4 Ge4'
_cell_length_a 5.817
_cell_length_b 5.817
_cell_length_c 5.817
_cell_angle_alpha 90.00
_cell_angle_beta 90.00
_cell_angle_gamma 90.00
_space_group_name_H-M_alt 'F -4 3 m'
_space_group_IT_number 216
_space_group_name_Hall 'F -4 2 3'
loop_
_atom_site_label
_atom_site_type_symbol
_atom_site_fract_x
_atom_site_fract_y
_atom_site_fract_z
_atom_site_occupancy
Cu1 Cu 0.000 0.000 0.000 1
Si1 Si 0.250 0.250 0.250 1
Ge1 Ge 0.250 0.250 0.750 1
```

=====

Density functional theory data (PBE) for YFeTcB after structural relaxation.

Values from the calculation:
The value obtained for the total energy is -7.220 eV per atom.

The structure in CIF format:
```
data_YFeTcB
_chemical_formula_sum 'Y4 Fe4 Tc4 B4'
_cell_length_a 6.212
_cell_length_b 6.212
_cell_length_c 6.212
_cell_angle_alpha 90.00
_cell_angle_beta 90.00
_cell_angle_gamma 90.00
_space_group_name_H-M_alt 'F -4 3 m'
_space_group_IT_number 216
_space_group_name_Hall 'F -4 2 3'
loop_
_atom_site_label
_atom_site_type_symbol
_atom_site_fract_x
_atom_site_fract_y
_atom_site_fract_z
_atom_site_occupancy
Y1 Y 0.000 0.000 0.000 1
Fe1 Fe 0.000 0.000 0.500 1
Tc1 Tc 0.250 0.250 0.750 1
B1 B 0.250 0.250 0.250 1
```

=====

Density functional theory data (PBE) for Zr2Np after structural relaxation.

Values from the calculation:
The formation energy from the elements comes out at 0.2107 eV/atom. The value obtained for the excess energy over the best structure of this formula in the dataset is 0.0 meV per atom.

The structure in CIF format:
```
data_Zr2Np
_chemical_formula_sum 'Zr8 Np4'
_cell_length_a 3.014
_cell_length_b 17.239
_cell_length_c 5.327
_cell_angle_alpha 90.00
_cell_angle_beta 90.00
_cell_angle_gamma 90.00
_space_group_name_H-M_alt 'C m c m'
_space_group_IT_number 63
_space_group_name_Hall '-C 2c 2'
loop_
_atom_site_label
_atom_site_type_symbol
_atom_site_fract_x
_atom_site_fract_y
_atom_site_fract_z
_atom_site_occupancy
Zr1 Zr 0.000 0.046 0.250 1
Zr2 Zr 0.000 0.287 0.750 1
Np1 Np 0.000 0.379 0.250 1
```

=====

Density functional theory data (PBE) for YHoMg3Ni2 after structural relaxation.

Values from the calculation:
The value obtained for the total energy is -4.121 eV per atom.

The structure in CIF format:
```
data_YHoMg3Ni2
_chemical_formula_sum 'Y2 Ho2 Mg6 Ni4'
_cell_length_a 3.634
_cell_length_b 3.958
_cell_length_c 20.958
_cell_angle_alpha 90.00
_cell_angle_beta 90.00
_cell_angle_gamma 90.00
_space_group_name_H-M_alt 'A m m 2'
_space_group_IT_number 38
loop_
_space_group_symop_operation_xyz
'x,y,z'
'-x,-y,z'
'-x,y,z'
'x,-y,z'
'x,y+1/2,z+1/2'
'-x,-y+1/2,z+1/2'
'-x,y+1/2,z+1/2'
'x,-y+1/2,z+1/2'
loop_
_atom_site_label
_atom_site_type_symbol
_atom_site_fract_x
_atom_site_fract_y
_atom_site_fract_z
_atom_site_occupancy
Y1 Y 0.000 0.000 0.000 1
Ho1 Ho 0.000 0.000 0.353 1
Mg1 Mg 0.000 0.000 0.176 1
Mg2 Mg 0.500 0.000 0.596 1
Mg3 Mg 0.500 0.000 0.756 1
Ni1 Ni 0.500 0.000 0.463 1
Ni2 Ni 0.500 0.000 0.889 1
```